Entry one
Density functional theory data (PBE) for an optimized crystal structure of CsRbSn3.

Results
As for the density of states at the Fermi level: 5.97 states/eV per cell.

Lattice parameters (Å, degrees): 6.4350 6.4350 6.4350 90.00 90.00 90.00
With the nearest neighbours (Å) after each atom.
Space group Pm-3m (No. 221)
Unique sites:
Cs  0.0000  0.0000  0.0000 (multiplicity 1)  6 Sn 3.22
Rb  0.5000  0.5000  0.5000 (multiplicity 1)  12 Sn 4.55
Sn  0.0000  0.0000  0.5000 (multiplicity 3)  2 Cs 3.22

Entry two
Density functional theory data (PBE) for an optimized crystal structure of CsRbSn3.

Results
As for the density of states at the Fermi level: 4.84 states/eV per cell.

Lattice parameters (Å, degrees): 6.3750 6.3750 6.3750 90.00 90.00 90.00
With the nearest neighbours (Å) after each atom.
Space group Pm-3m (No. 221)
Unique sites:
Cs  0.0000  0.0000  0.0000 (multiplicity 1)  12 Sn 4.51
Rb  0.5000  0.5000  0.5000 (multiplicity 1)  6 Sn 3.19
Sn  0.0000  0.5000  0.5000 (multiplicity 3)  2 Rb 3.19

Bottom line: entry two, by a margin of 133 meV per atom.

Entry one
Density functional theory data (PBE) for an optimized crystal structure of Cs2Rb2Sr.

Results
As for the density of states at the Fermi level: 8.84 states/eV per cell.

Lattice parameters (Å, degrees): 13.0043 13.0043 5.2283 90.00 90.00 90.00
With the nearest neighbours (Å) after each atom.
Space group P4/mbm (No. 127)
Unique sites:
Cs  0.1347  0.3653  0.0000 (multiplicity 4)  6 Rb 4.44-4.77, 1 Cs 4.95
Rb  0.1703  0.6703  0.5000 (multiplicity 4)  6 Cs 4.44-4.77
Sr  0.0000  0.0000  0.0000 (multiplicity 2)  4 Cs 5.06, 2 Sr 5.23, 8 Rb 5.49

Entry two
Density functional theory data (PBE) for an optimized crystal structure of Cs2Rb2Sr.

Results
As for the density of states at the Fermi level: 11.33 states/eV per cell.

Lattice parameters (Å, degrees): 6.4944 6.4944 22.6013 90.00 90.00 90.00
With the nearest neighbours (Å) after each atom.
Space group I4/mmm (No. 139)
Unique sites:
Cs  0.0000  0.5000  0.2500 (multiplicity 4)  4 Cs 4.59, 4 Rb 4.87
Rb  0.0000  0.0000  0.0897 (multiplicity 4)  1 Rb 4.05
Sr  0.0000  0.0000  0.5000 (multiplicity 2)  8 Rb 5.02

Entry three
Density functional theory data (PBE) for an optimized crystal structure of Cs2Rb2Sr.

Results
As for the density of states at the Fermi level: 11.44 states/eV per cell.

Lattice parameters (Å, degrees): 6.0980 6.0980 26.1445 90.00 90.00 90.00
With the nearest neighbours (Å) after each atom.
Space group I4/mmm (No. 139)
Unique sites:
Cs  0.0000  0.0000  0.0938 (multiplicity 4)  1 Cs 4.91, 4 Sr 4.96, 4 Rb 5.10
Rb  0.0000  0.5000  0.2500 (multiplicity 4)  4 Rb 4.31
Sr  0.0000  0.0000  0.5000 (multiplicity 2)  8 Cs 4.96

Entry four
Density functional theory data (PBE) for an optimized crystal structure of Cs2Rb2Sr.

Results
As for the density of states at the Fermi level: 11.09 states/eV per cell.

Lattice parameters (Å, degrees): 12.8615 12.8615 5.3668 90.00 90.00 90.00
With the nearest neighbours (Å) after each atom.
Space group P4/mbm (No. 127)
Unique sites:
Cs  0.1763  0.3237  0.0000 (multiplicity 4)  6 Rb 4.46-4.79
Rb  0.1280  0.6280  0.5000 (multiplicity 4)  6 Cs 4.46-4.79, 1 Rb 4.66
Sr  0.0000  0.0000  0.5000 (multiplicity 2)  4 Rb 5.06, 2 Sr 5.37, 8 Cs 5.45

Bottom line: entry four, by a margin of 17 meV per atom.

Entry one
Density functional theory data (PBE) for an optimized crystal structure of Cs2RbSr.

Results
As for the density of states at the Fermi level: 4.76 states/eV per cell.

Lattice parameters (Å, degrees): 4.7942 4.7942 15.1347 90.00 90.00 90.00
With the nearest neighbours (Å) after each atom.
Space group P4/mmm (No. 123)
Unique sites:
Cs  0.0000  0.0000  0.2311 (multiplicity 2)  4 Cs 4.79, 4 Sr 4.87, 4 Rb 5.30
Rb  0.5000  0.5000  0.5000 (multiplicity 1)  4 Rb 4.79, 8 Cs 5.30
Sr  0.5000  0.5000  0.0000 (multiplicity 1)  4 Sr 4.79, 8 Cs 4.87

Entry two
Density functional theory data (PBE) for an optimized crystal structure of Cs2RbSr.

Results
As for the density of states at the Fermi level: 21.40 states/eV per cell.

Lattice parameters (Å, degrees): 11.2265 11.2265 11.2265 90.00 90.00 90.00
With the nearest neighbours (Å) after each atom.
Space group Fm-3m (No. 225)
Unique sites:
Cs  0.2500  0.2500  0.2500 (multiplicity 8)  4 Rb 4.86, 4 Sr 4.86
Rb  0.0000  0.0000  0.0000 (multiplicity 4)  8 Cs 4.86
Sr  0.0000  0.0000  0.5000 (multiplicity 4)  8 Cs 4.86

Entry three
Density functional theory data (PBE) for an optimized crystal structure of Cs2RbSr.

Results
As for the density of states at the Fermi level: 19.20 states/eV per cell.

Lattice parameters (Å, degrees): 12.5339 12.5339 9.4624 90.00 90.00 90.00
With the nearest neighbours (Å) after each atom.
Space group I-42d (No. 122)
Unique sites:
Cs  0.2448  0.2500  0.1250 (multiplicity 8)  2 Rb 4.54, 2 Sr 4.63, 2 Cs 4.73
Rb  0.0000  0.0000  0.0000 (multiplicity 4)  4 Cs 4.54, 2 Sr 4.73
Sr  0.0000  0.0000  0.5000 (multiplicity 4)  4 Cs 4.63, 2 Rb 4.73

Entry four
Density functional theory data (PBE) for an optimized crystal structure of Cs2RbSr.

Results
As for the density of states at the Fermi level: 15.81 states/eV per cell.

Lattice parameters (Å, degrees): 4.7680 4.7680 53.3617 90.00 90.00 120.00
With the nearest neighbours (Å) after each atom.
Space group R-3m (No. 166, hexagonal axes)
Unique sites:
Cs  0.0000  0.0000  0.0835 (multiplicity 6)  1 Sr 4.46, 6 Cs 4.77
Rb  0.0000  0.0000  0.5000 (multiplicity 3)  6 Rb 4.77, 6 Cs 5.22
Sr  0.0000  0.0000  0.0000 (multiplicity 3)  2 Cs 4.46, 6 Sr 4.77

Bottom line: entry one, by a margin of 27 meV per atom.

Entry one
Density functional theory data (PBE) for an optimized crystal structure of Cs2RbTc.

Results
As for the density of states at the Fermi level: 41.78 states/eV per cell.

Lattice parameters (Å, degrees): 12.9755 12.9755 12.9755 90.00 90.00 90.00
With the nearest neighbours (Å) after each atom.
Space group Fd-3m (No. 227, origin choice 2)
Unique sites:
Cs  0.0000  0.0000  0.0000 (multiplicity 16)  2 Tc 2.81
Rb  0.1250  0.1250  0.6250 (multiplicity 8)  12 Cs 5.38, 4 Rb 5.62, 4 Tc 5.62
Tc  0.1250  0.1250  0.1250 (multiplicity 8)  4 Cs 2.81

Entry two
Density functional theory data (PBE) for an optimized crystal structure of Cs2RbTc.

Results
As for the density of states at the Fermi level: 34.67 states/eV per cell.

Lattice parameters (Å, degrees): 9.6753 9.6753 9.6753 90.00 90.00 90.00
With the nearest neighbours (Å) after each atom.
Space group Fm-3m (No. 225)
Unique sites:
Cs  0.2500  0.2500  0.2500 (multiplicity 8)  4 Tc 4.19, 4 Rb 4.19
Rb  0.0000  0.0000  0.0000 (multiplicity 4)  8 Cs 4.19
Tc  0.0000  0.0000  0.5000 (multiplicity 4)  8 Cs 4.19

Bottom line: entry two, by a margin of 160 meV per atom.

Entry one
Density functional theory data (PBE) for an optimized crystal structure of Cs2RbTe6.

Results
As for the density of states at the Fermi level: 6.70 states/eV per cell.

Lattice parameters (Å, degrees): 14.3351 12.4603 4.6471 90.00 108.86 90.00
With the nearest neighbours (Å) after each atom.
Space group C2/m (No. 12)
Unique sites:
Cs  0.1637  0.0000  0.2106 (multiplicity 4)  8 Te 3.87-3.93
Rb  0.0000  0.5000  0.5000 (multiplicity 2)  8 Te 3.80-3.83
Te  0.0000  0.2589  0.0000 (multiplicity 4)  4 Te 3.11-3.38
Te  0.1667  0.2528  0.7069 (multiplicity 8)  2 Te 2.99-3.11

Entry two
Density functional theory data (PBE) for an optimized crystal structure of Cs2RbTe6.

Results
As for the density of states at the Fermi level: 6.40 states/eV per cell.

Lattice parameters (Å, degrees): 15.3291 11.4710 5.6488 90.00 94.33 90.00
With the nearest neighbours (Å) after each atom.
Space group Cm (No. 8)
Unique sites:
Cs  0.0000  0.0000  0.0000 (multiplicity 2)  10 Te 3.94-4.41
Cs  0.1889  0.5000  0.8379 (multiplicity 2)  10 Te 3.94-4.41
Rb  0.3433  0.0000  0.4311 (multiplicity 2)  6 Te 3.69-3.88
Te  0.0203  0.2621  0.5566 (multiplicity 4)  2 Te 2.87-2.91
Te  0.1690  0.2377  0.2812 (multiplicity 4)  2 Te 2.87-2.91
Te  0.3446  0.3214  0.4186 (multiplicity 4)  2 Te 2.91

Bottom line: entry one, by a margin of 46 meV per atom.

Entry one
Density functional theory data (PBE) for an optimized crystal structure of Cs4Rb2Te.

Results
As for the density of states at the Fermi level: 9.60 states/eV per cell.

Lattice parameters (Å, degrees): 20.0046 6.6084 9.7594 90.00 115.00 90.00
With the nearest neighbours (Å) after each atom.
Space group C2/m (No. 12)
Unique sites:
Cs  0.0344  0.0000  0.2406 (multiplicity 4)  2 Te 3.94, 1 Cs 4.30
Cs  0.1310  0.5000  0.7886 (multiplicity 4)  1 Te 3.96
Rb  0.1965  0.5000  0.2946 (multiplicity 4)  1 Te 3.76
Te  0.0000  0.5000  0.0000 (multiplicity 2)  2 Rb 3.76, 6 Cs 3.94-3.96

Entry two
Density functional theory data (PBE) for an optimized crystal structure of Cs4Rb2Te.

Results
As for the density of states at the Fermi level: 6.37 states/eV per cell.

Lattice parameters (Å, degrees): 7.4352 7.4352 25.4781 90.00 90.00 90.00
With the nearest neighbours (Å) after each atom.
Space group I4/mmm (No. 139)
Unique sites:
Cs  0.0000  0.0000  0.1435 (multiplicity 4)  1 Te 3.66
Cs  0.0000  0.5000  0.0000 (multiplicity 4)  2 Te 3.72
Rb  0.0000  0.0000  0.3326 (multiplicity 4)  5 Cs 4.82-5.29
Te  0.0000  0.0000  0.0000 (multiplicity 2)  6 Cs 3.66-3.72

Bottom line: entry one, by a margin of 16 meV per atom.

Entry one
Density functional theory data (PBE) for an optimized crystal structure of Cs2RbTe2.

Results
As for the density of states at the Fermi level: 2.33 states/eV per cell.

Lattice parameters (Å, degrees): 10.8859 10.8859 4.0822 90.00 90.00 90.00
With the nearest neighbours (Å) after each atom.
Space group P4/mbm (No. 127)
Unique sites:
Cs  0.1213  0.3787  0.0000 (multiplicity 4)  6 Te 3.71-3.89, 3 Cs 3.74-4.08
Rb  0.0000  0.0000  0.0000 (multiplicity 2)  2 Rb 4.08, 4 Cs 4.33, 8 Te 4.50
Te  0.1772  0.6772  0.5000 (multiplicity 4)  6 Cs 3.71-3.89, 2 Te 4.08

Entry two
Density functional theory data (PBE) for an optimized crystal structure of Cs2RbTe2.

Lattice parameters (Å, degrees): 12.1267 6.0336 15.0436 90.00 101.96 90.00
With the nearest neighbours (Å) after each atom.
Space group C2/m (No. 12)
Unique sites:
Cs  0.0681  0.0000  0.2370 (multiplicity 4)  5 Te 3.80-4.24, 1 Cs 4.19, 2 Rb 4.26
Cs  0.1601  0.0000  0.5889 (multiplicity 4)  6 Te 3.72-4.07
Rb  0.1416  0.5000  0.9101 (multiplicity 4)  3 Te 3.63-3.74
Te  0.0342  0.5000  0.4156 (multiplicity 4)  1 Te 2.83
Te  0.2119  0.5000  0.1569 (multiplicity 4)  3 Rb 3.63-3.74, 3 Cs 3.80-3.82

Bottom line: entry two, by a margin of 147 meV per atom.

Entry one
Density functional theory data (PBE) for an optimized crystal structure of Cs3RbTe.

Results
As for the density of states at the Fermi level: 0.00 states/eV per cell.

Lattice parameters (Å, degrees): 7.7383 7.7383 7.7383 90.00 90.00 90.00
With the nearest neighbours (Å) after each atom.
Space group Pm-3m (No. 221)
Unique sites:
Cs  0.0000  0.0000  0.5000 (multiplicity 3)  2 Rb 3.87
Rb  0.0000  0.0000  0.0000 (multiplicity 1)  6 Cs 3.87
Te  0.5000  0.5000  0.5000 (multiplicity 1)  12 Cs 5.47

Entry two
Density functional theory data (PBE) for an optimized crystal structure of Cs3RbTe.

Results
As for the density of states at the Fermi level: 0.94 states/eV per cell.

Lattice parameters (Å, degrees): 7.5408 7.5408 7.5408 90.00 90.00 90.00
With the nearest neighbours (Å) after each atom.
Space group Pm-3m (No. 221)
Unique sites:
Cs  0.0000  0.0000  0.5000 (multiplicity 3)  2 Te 3.77
Rb  0.5000  0.5000  0.5000 (multiplicity 1)  12 Cs 5.33
Te  0.0000  0.0000  0.0000 (multiplicity 1)  6 Cs 3.77

Bottom line: entry two, by a margin of 659 meV per atom.

Entry one
Density functional theory data (PBE) for an optimized crystal structure of Cs3RbTe4.

Lattice parameters (Å, degrees): 5.6455 7.3175 21.5093 90.00 90.00 90.00
With the nearest neighbours (Å) after each atom.
Space group Immm (No. 71)
Unique sites:
Cs  0.0000  0.0000  0.0000 (multiplicity 2)  8 Te 4.16, 4 Rb 4.62
Cs  0.0000  0.5000  0.2046 (multiplicity 4)  6 Te 3.89-3.99
Rb  0.0000  0.0000  0.5000 (multiplicity 2)  4 Te 3.54
Te  0.0000  0.3092  0.3735 (multiplicity 8)  1 Te 2.79

Entry two
Density functional theory data (PBE) for an optimized crystal structure of Cs3RbTe4.

Lattice parameters (Å, degrees): 24.3887 6.0773 8.6380 90.00 104.41 90.00
With the nearest neighbours (Å) after each atom.
Space group C2/m (No. 12)
Unique sites:
Cs  0.0000  0.0000  0.0000 (multiplicity 2)  4 Te 3.88
Cs  0.1879  0.0000  0.3235 (multiplicity 4)  5 Te 3.80-3.92
Rb  0.0000  0.5000  0.5000 (multiplicity 2)  4 Te 3.51-3.67
Te  0.0866  0.5000  0.2087 (multiplicity 4)  1 Te 2.82
Te  0.1465  0.5000  0.5329 (multiplicity 4)  1 Te 2.82

Bottom line: entry one, by a margin of 57 meV per atom.

Entry one
Density functional theory data (PBE) for an optimized crystal structure of Cs2Rb2Te.

Results
As for the density of states at the Fermi level: 2.86 states/eV per cell.

Lattice parameters (Å, degrees): 9.6682 9.6682 7.6663 90.00 90.00 90.00
With the nearest neighbours (Å) after each atom.
Space group P4/mbm (No. 127)
Unique sites:
Cs  0.1884  0.3116  0.0000 (multiplicity 4)  2 Rb 4.32
Rb  0.1653  0.6653  0.5000 (multiplicity 4)  2 Te 3.61
Te  0.0000  0.0000  0.5000 (multiplicity 2)  4 Rb 3.61

Entry two
Density functional theory data (PBE) for an optimized crystal structure of Cs2Rb2Te.

Results
As for the density of states at the Fermi level: 1.86 states/eV per cell.

Lattice parameters (Å, degrees): 9.7677 9.7677 7.9500 90.00 90.00 90.00
With the nearest neighbours (Å) after each atom.
Space group P4/mbm (No. 127)
Unique sites:
Cs  0.1594  0.3406  0.0000 (multiplicity 4)  2 Te 3.67
Rb  0.1803  0.6803  0.5000 (multiplicity 4)  2 Cs 4.55, 5 Rb 4.98-5.07
Te  0.0000  0.0000  0.0000 (multiplicity 2)  4 Cs 3.67

Bottom line: entry one, by a margin of 7 meV per atom.

Entry one
Density functional theory data (PBE) for an optimized crystal structure of CsRbTi2.

Results
As for the density of states at the Fermi level: 63.79 states/eV per cell.

Lattice parameters (Å, degrees): 8.8480 8.8480 8.8480 90.00 90.00 90.00
With the nearest neighbours (Å) after each atom.
Space group Fm-3m (No. 225)
Unique sites:
Cs  0.0000  0.0000  0.0000 (multiplicity 4)  8 Ti 3.83
Rb  0.0000  0.0000  0.5000 (multiplicity 4)  8 Ti 3.83
Ti  0.2500  0.2500  0.2500 (multiplicity 8)  4 Rb 3.83, 4 Cs 3.83

Entry two
Density functional theory data (PBE) for an optimized crystal structure of CsRbTi2.

Results
As for the density of states at the Fermi level: 24.29 states/eV per cell.

Lattice parameters (Å, degrees): 5.0176 5.0176 26.0568 90.00 90.00 90.00
With the nearest neighbours (Å) after each atom.
Space group I4_1/amd (No. 141, origin choice 2)
Unique sites:
Cs  0.0000  0.2500  0.3750 (multiplicity 4)  4 Ti 3.49, 4 Rb 3.55
Rb  0.0000  0.2500  0.8750 (multiplicity 4)  4 Cs 3.55
Ti  0.0000  0.0000  0.5000 (multiplicity 8)  2 Ti 2.51

Bottom line: entry two, by a margin of 163 meV per atom.